# 1
Crystalline LiGe2As2 at its relaxed geometry. Source: the Alexandria database, functional PBE.

Unit cell a=5.425 b=5.425 c=5.425 alpha=124.89 beta=124.89 gamma=81.72
Positions (direct):
Li: 0.000 0.000 0.000
Ge: 0.345 0.345 0.000
Ge: 0.655 0.655 0.000
As: 0.250 0.750 0.500
As: 0.750 0.250 0.500

Values from the calculation:
- energy above the most stable polymorph in this dataset (eV per atom) = 0.0000
- DOS at the Fermi energy (states/eV/cell) = 1.2
- E (eV per atom) = -4.111
- spin magnetization (μB/f.u.) = 0.00
- E_form (eV/f.u.) = -0.1



# 2
Crystalline TbSi4Ir2 at its relaxed geometry. Source: the Alexandria database, functional PBE.

Unit cell a=16.592 b=4.161 c=6.440 alpha=90.00 beta=90.00 gamma=90.00
Positions (direct):
Tb: 0.141 0.250 0.004
Tb: 0.359 0.750 0.504
Tb: 0.641 0.250 0.496
Tb: 0.859 0.750 0.996
Si: 0.033 0.750 0.137
Si: 0.065 0.250 0.536
Si: 0.182 0.750 0.689
Si: 0.192 0.750 0.282
Si: 0.308 0.250 0.782
Si: 0.318 0.250 0.189
Si: 0.435 0.750 0.036
Si: 0.467 0.250 0.637
Si: 0.533 0.750 0.363
Si: 0.565 0.250 0.964
Si: 0.682 0.750 0.811
Si: 0.692 0.750 0.218
Si: 0.808 0.250 0.718
Si: 0.818 0.250 0.311
Si: 0.935 0.750 0.464
Si: 0.967 0.250 0.863
Ir: 0.033 0.750 0.748
Ir: 0.213 0.250 0.484
Ir: 0.287 0.750 0.984
Ir: 0.467 0.250 0.248
Ir: 0.533 0.750 0.752
Ir: 0.713 0.250 0.016
Ir: 0.787 0.750 0.516
Ir: 0.967 0.250 0.252

Values from the calculation:
- DOS at the Fermi energy (states/eV/cell) = 4.3
- E (eV per atom) = -7.082
- spin magnetization (μB/f.u.) = 0.00
- energy relative to the elements, uncorrected (eV per atom) = -0.790



# 3
Crystalline AgRhBr2 at its relaxed geometry. Source: the Alexandria database, functional PBE.

Unit cell a=7.936 b=7.936 c=7.936 alpha=27.53 beta=27.53 gamma=27.53
Positions (direct):
Ag: 0.000 0.000 0.000
Rh: 0.740 0.740 0.740
Br: 0.263 0.263 0.263
Br: 0.458 0.458 0.458

Values from the calculation:
- energy above the most stable polymorph in this dataset (eV per atom) = 0.0744
- DOS at the Fermi energy (states/eV/cell) = 1.2
- E (eV per atom) = -3.392
- spin magnetization (μB/f.u.) = 0.00
- energy relative to the elements, uncorrected (eV per atom) = -0.005